The following is a DFT calculation (PBE with a Hubbard U) of Ba2Cd2MoO6 after structural relaxation.

**N(E_F)**: 0.581 states/eV per atom
**SG**: R-3m, No. 166
**Spin magnetization**: 2.0 μB/cell
**Calculated volume**: 17.92 Å³/atom
**Final energy**: -5.468 eV per atom

abc: 6.6962 6.6962 6.6962
angles: 56.90 56.90 56.90
With the nearest neighbours (Å) after each atom.
Fractional coordinates of all 11 atoms:
Ba1 0.2065 0.2065 0.2065  3 O 2.64
Ba2 0.7935 0.7935 0.7935  3 O 2.64
Cd1 0.4076 0.4076 0.4076  3 O 2.10
Cd2 0.5924 0.5924 0.5924  3 O 2.10
Mo1 0.0000 0.0000 0.0000  6 O 2.09
O1 0.2066 0.7756 0.7756  1 Mo 2.09, 1 Cd 2.10
O2 0.2244 0.2244 0.7934  1 Mo 2.09, 1 Cd 2.10
O3 0.2244 0.7934 0.2244  1 Mo 2.09, 1 Cd 2.10
O4 0.7756 0.2066 0.7756  1 Mo 2.09, 1 Cd 2.10
O5 0.7756 0.7756 0.2066  1 Mo 2.09, 1 Cd 2.10
O6 0.7934 0.2244 0.2244  1 Mo 2.09, 1 Cd 2.10